Entry from Alexandria via LeMat-Bulk: a geometry-optimized CaSb structure (PBE-GGA).

a = 10.0913 Å, b = 10.0913 Å, c = 10.0913 Å
α = 23.18°, β = 23.18°, γ = 23.18°
Closest atoms and distances in Å follow each position.
Atoms (fractional coordinates):
Sb: 0.2402 0.2402 0.2402  3 Sb 3.00, 3 Ca 3.32
Sb: 0.5098 0.5098 0.5098  3 Sb 3.00, 3 Ca 3.32
Ca: 0.7630 0.7630 0.7630  3 Sb 3.32
Ca: 0.9870 0.9870 0.9870  3 Sb 3.32

Results
The uncorrected energy is -12.87 eV for the cell shown. For the formation energy from raw total energies, the calculation gives -0.1552 eV/atom. As for the total magnetization: 0.000 μB per atom. The value obtained for the density of states at the Fermi level is 3.7 states/eV per cell. The volume comes out at 34.94 Å³ per atom.